A plane-wave DFT calculation with PBE+U was carried out for a relaxed structure of CoIr3O.

As for the total energy: -5.133 eV/atom. The value obtained for the offset from the most stable computed form is 1307 meV/atom. The magnetic moment comes out at 7.150 μB per formula unit. As for the density of states at the Fermi level: 5.66 states/eV/f.u.

The space group is Pm-3m (No. 221) and the conventional cell measures 4.4707, 4.4707 and 4.4707 Å, with angles of 90.00, 90.00 and 90.00 degrees. The asymmetric unit holds Co at (0.0000, 0.0000, 0.0000), Ir at (0.0000, 0.0000, 0.5000) and O at (0.5000, 0.5000, 0.5000).